1.
Density functional theory data (PBE) for Ac6Ga3Pd after structural relaxation.

Output
Total moment (Bohr magnetons per cell): 0.00
Formation energy (kJ per mole of atoms): -33.34
Density (Mg/m³): 7.8

Structure (CIF):
```
data_Ac6Ga3Pd
_chemical_formula_sum 'Ac12 Ga6 Pd2'
_space_group_name_H-M_alt 'P 1'
_space_group_IT_number 1
_space_group_name_Hall 'P 1'
_cell_length_a 7.1850
_cell_length_b 9.0222
_cell_length_c 12.9294
_cell_angle_alpha 90.00
_cell_angle_beta 121.42
_cell_angle_gamma 90.00
loop_
_atom_site_label
_atom_site_type_symbol
_atom_site_fract_x
_atom_site_fract_y
_atom_site_fract_z
_atom_site_occupancy
Ac1 Ac 0.0860 0.1694 0.4370 1
Ac2 Ac 0.0860 0.3306 0.9370 1
Ac3 Ac 0.2876 0.6837 0.4267 1
Ac4 Ac 0.2876 0.8163 0.9267 1
Ac5 Ac 0.4135 0.0629 0.2545 1
Ac6 Ac 0.4135 0.4371 0.7545 1
Ac7 Ac 0.5865 0.5629 0.2455 1
Ac8 Ac 0.5865 0.9371 0.7455 1
Ac9 Ac 0.7124 0.1837 0.0733 1
Ac10 Ac 0.7124 0.3163 0.5733 1
Ac11 Ac 0.9140 0.6694 0.0630 1
Ac12 Ac 0.9140 0.8306 0.5630 1
Ga1 Ga 0.0000 0.0000 0.0000 1
Ga2 Ga 0.0000 0.5000 0.5000 1
Ga3 Ga 0.1868 0.1118 0.7557 1
Ga4 Ga 0.1868 0.3882 0.2557 1
Ga5 Ga 0.8132 0.6118 0.7443 1
Ga6 Ga 0.8132 0.8882 0.2443 1
Pd1 Pd 0.5000 0.0000 0.5000 1
Pd2 Pd 0.5000 0.5000 0.0000 1
```

2.
Density functional theory data (PBE) for AcGaPd4 after structural relaxation.

Output
Energy relative to the lowest polymorph listed for this composition (eV/atom): 0.000
Total moment (Bohr magnetons per cell): 0.00
Formation energy (kJ per mole of atoms): -67.33
Density (Mg/m³): 10.4

Structure (CIF):
```
data_AcGaPd4
_chemical_formula_sum 'Ac2 Ga2 Pd8'
_space_group_name_H-M_alt 'P 1'
_space_group_IT_number 1
_space_group_name_Hall 'P 1'
_cell_length_a 7.8469
_cell_length_b 4.0796
_cell_length_c 7.2123
_cell_angle_alpha 90.00
_cell_angle_beta 90.00
_cell_angle_gamma 90.00
loop_
_atom_site_label
_atom_site_type_symbol
_atom_site_fract_x
_atom_site_fract_y
_atom_site_fract_z
_atom_site_occupancy
Ac1 Ac 0.2500 0.0000 0.1450 1
Ac2 Ac 0.7500 0.0000 0.8550 1
Ga1 Ga 0.2500 0.0000 0.7055 1
Ga2 Ga 0.7500 0.0000 0.2945 1
Pd1 Pd 0.0000 0.0000 0.5000 1
Pd2 Pd 0.0566 0.5000 0.8003 1
Pd3 Pd 0.2500 0.5000 0.4610 1
Pd4 Pd 0.4434 0.5000 0.8003 1
Pd5 Pd 0.5000 0.0000 0.5000 1
Pd6 Pd 0.5566 0.5000 0.1997 1
Pd7 Pd 0.7500 0.5000 0.5390 1
Pd8 Pd 0.9434 0.5000 0.1997 1
```

3.
Density functional theory data (PBE) for Ac2Ga9Pd6 after structural relaxation.

Output
Total moment (Bohr magnetons per cell): 0.00
Formation energy (kJ per mole of atoms): -52.55
Density (Mg/m³): 8.3

Structure (CIF):
```
data_Ac2Ga9Pd6
_chemical_formula_sum 'Ac2 Ga9 Pd6'
_space_group_name_H-M_alt 'P 1'
_space_group_IT_number 1
_space_group_name_Hall 'P 1'
_cell_length_a 5.6010
_cell_length_b 5.6010
_cell_length_c 12.6731
_cell_angle_alpha 90.00
_cell_angle_beta 90.00
_cell_angle_gamma 120.00
loop_
_atom_site_label
_atom_site_type_symbol
_atom_site_fract_x
_atom_site_fract_y
_atom_site_fract_z
_atom_site_occupancy
Ac1 Ac 0.0000 0.0000 0.1666 1
Ac2 Ac 0.0000 0.0000 0.8334 1
Ga1 Ga 0.0000 0.5000 0.0000 1
Ga2 Ga 0.0000 0.5000 0.3419 1
Ga3 Ga 0.0000 0.5000 0.6581 1
Ga4 Ga 0.5000 0.0000 0.0000 1
Ga5 Ga 0.5000 0.0000 0.3419 1
Ga6 Ga 0.5000 0.0000 0.6581 1
Ga7 Ga 0.5000 0.5000 0.0000 1
Ga8 Ga 0.5000 0.5000 0.3419 1
Ga9 Ga 0.5000 0.5000 0.6581 1
Pd1 Pd 0.3333 0.6667 0.1747 1
Pd2 Pd 0.3333 0.6667 0.5000 1
Pd3 Pd 0.3333 0.6667 0.8253 1
Pd4 Pd 0.6667 0.3333 0.1747 1
Pd5 Pd 0.6667 0.3333 0.5000 1
Pd6 Pd 0.6667 0.3333 0.8253 1
```

4.
Density functional theory data (PBE) for Ac2PmGa4Pd3 after structural relaxation.

Output
Total moment (Bohr magnetons per cell): 0.00
Formation energy (kJ per mole of atoms): -66.70
Density (Mg/m³): 8.6

Structure (CIF):
```
data_Ac2PmGa4Pd3
_chemical_formula_sum 'Ac2 Pm1 Ga4 Pd3'
_space_group_name_H-M_alt 'P 1'
_space_group_IT_number 1
_space_group_name_Hall 'P 1'
_cell_length_a 4.4141
_cell_length_b 4.4141
_cell_length_c 11.8332
_cell_angle_alpha 90.00
_cell_angle_beta 90.00
_cell_angle_gamma 90.00
loop_
_atom_site_label
_atom_site_type_symbol
_atom_site_fract_x
_atom_site_fract_y
_atom_site_fract_z
_atom_site_occupancy
Ac1 Ac 0.0000 0.5000 0.2255 1
Ac2 Ac 0.5000 0.0000 0.7745 1
Pm1 Pm 0.0000 0.0000 0.5000 1
Ga1 Ga 0.0000 0.0000 0.0000 1
Ga2 Ga 0.0000 0.5000 0.6677 1
Ga3 Ga 0.5000 0.0000 0.3323 1
Ga4 Ga 0.5000 0.5000 0.0000 1
Pd1 Pd 0.0000 0.5000 0.8833 1
Pd2 Pd 0.5000 0.0000 0.1167 1
Pd3 Pd 0.5000 0.5000 0.5000 1
```

5.
Density functional theory data (PBE) for Ac2PmGa2Pd7 after structural relaxation.

Output
Total moment (Bohr magnetons per cell): 0.00
Formation energy (kJ per mole of atoms): -77.50
Density (Mg/m³): 9.7

Structure (CIF):
```
data_Ac2PmGa2Pd7
_chemical_formula_sum 'Ac2 Pm1 Ga2 Pd7'
_space_group_name_H-M_alt 'P 1'
_space_group_IT_number 1
_space_group_name_Hall 'P 1'
_cell_length_a 4.2441
_cell_length_b 4.2441
_cell_length_c 14.2411
_cell_angle_alpha 95.52
_cell_angle_beta 95.52
_cell_angle_gamma 89.42
loop_
_atom_site_label
_atom_site_type_symbol
_atom_site_fract_x
_atom_site_fract_y
_atom_site_fract_z
_atom_site_occupancy
Ac1 Ac 0.1024 0.1024 0.3552 1
Ac2 Ac 0.8976 0.8976 0.6448 1
Pm1 Pm 0.0000 0.0000 0.0000 1
Ga1 Ga 0.4239 0.4239 0.7552 1
Ga2 Ga 0.5761 0.5761 0.2448 1
Pd1 Pd 0.0464 0.5471 0.1492 1
Pd2 Pd 0.3827 0.3827 0.5754 1
Pd3 Pd 0.4529 0.9536 0.8508 1
Pd4 Pd 0.5000 0.5000 0.0000 1
Pd5 Pd 0.5471 0.0464 0.1492 1
Pd6 Pd 0.6173 0.6173 0.4246 1
Pd7 Pd 0.9536 0.4529 0.8508 1
```

6.
Density functional theory data (PBE) for AcPmGa2Pd5 after structural relaxation.

Output
Total moment (Bohr magnetons per cell): 0.00
Formation energy (kJ per mole of atoms): -73.66
Density (Mg/m³): 9.7

Structure (CIF):
```
data_AcPmGa2Pd5
_chemical_formula_sum 'Ac1 Pm1 Ga2 Pd5'
_space_group_name_H-M_alt 'P 1'
_space_group_IT_number 1
_space_group_name_Hall 'P 1'
_cell_length_a 4.3806
_cell_length_b 4.3806
_cell_length_c 9.2741
_cell_angle_alpha 90.00
_cell_angle_beta 90.00
_cell_angle_gamma 90.00
loop_
_atom_site_label
_atom_site_type_symbol
_atom_site_fract_x
_atom_site_fract_y
_atom_site_fract_z
_atom_site_occupancy
Ac1 Ac 0.0000 0.0000 0.0000 1
Pm1 Pm 0.0000 0.0000 0.5000 1
Ga1 Ga 0.5000 0.5000 0.3632 1
Ga2 Ga 0.5000 0.5000 0.6368 1
Pd1 Pd 0.0000 0.5000 0.2330 1
Pd2 Pd 0.0000 0.5000 0.7670 1
Pd3 Pd 0.5000 0.0000 0.2330 1
Pd4 Pd 0.5000 0.0000 0.7670 1
Pd5 Pd 0.5000 0.5000 0.0000 1
```

7.
Density functional theory data (PBE) for AcPmGaPd after structural relaxation.

Output
Total moment (Bohr magnetons per cell): 0.00
Formation energy (kJ per mole of atoms): -53.10
Density (Mg/m³): 8.5

Structure (CIF):
```
data_AcPmGaPd
_chemical_formula_sum 'Ac4 Pm4 Ga4 Pd4'
_space_group_name_H-M_alt 'P 1'
_space_group_IT_number 1
_space_group_name_Hall 'P 1'
_cell_length_a 7.5314
_cell_length_b 7.5314
_cell_length_c 7.5314
_cell_angle_alpha 90.00
_cell_angle_beta 90.00
_cell_angle_gamma 90.00
loop_
_atom_site_label
_atom_site_type_symbol
_atom_site_fract_x
_atom_site_fract_y
_atom_site_fract_z
_atom_site_occupancy
Ac1 Ac 0.0000 0.0000 0.0000 1
Ac2 Ac 0.0000 0.5000 0.5000 1
Ac3 Ac 0.5000 0.0000 0.5000 1
Ac4 Ac 0.5000 0.5000 0.0000 1
Pm1 Pm 0.0000 0.0000 0.5000 1
Pm2 Pm 0.0000 0.5000 0.0000 1
Pm3 Pm 0.5000 0.0000 0.0000 1
Pm4 Pm 0.5000 0.5000 0.5000 1
Ga1 Ga 0.2500 0.2500 0.2500 1
Ga2 Ga 0.2500 0.7500 0.7500 1
Ga3 Ga 0.7500 0.2500 0.7500 1
Ga4 Ga 0.7500 0.7500 0.2500 1
Pd1 Pd 0.2500 0.2500 0.7500 1
Pd2 Pd 0.2500 0.7500 0.2500 1
Pd3 Pd 0.7500 0.2500 0.2500 1
Pd4 Pd 0.7500 0.7500 0.7500 1
```

8.
Density functional theory data (PBE) for Ac2PrGa4Pd3 after structural relaxation.

Output
Total moment (Bohr magnetons per cell): 0.00
Formation energy (kJ per mole of atoms): -65.60
Density (Mg/m³): 8.5

Structure (CIF):
```
data_Ac2PrGa4Pd3
_chemical_formula_sum 'Ac2 Pr1 Ga4 Pd3'
_space_group_name_H-M_alt 'P 1'
_space_group_IT_number 1
_space_group_name_Hall 'P 1'
_cell_length_a 4.4422
_cell_length_b 4.4422
_cell_length_c 11.7968
_cell_angle_alpha 90.00
_cell_angle_beta 90.00
_cell_angle_gamma 90.00
loop_
_atom_site_label
_atom_site_type_symbol
_atom_site_fract_x
_atom_site_fract_y
_atom_site_fract_z
_atom_site_occupancy
Ac1 Ac 0.0000 0.5000 0.2248 1
Ac2 Ac 0.5000 0.0000 0.7752 1
Pr1 Pr 0.0000 0.0000 0.5000 1
Ga1 Ga 0.0000 0.0000 0.0000 1
Ga2 Ga 0.0000 0.5000 0.6711 1
Ga3 Ga 0.5000 0.0000 0.3289 1
Ga4 Ga 0.5000 0.5000 0.0000 1
Pd1 Pd 0.0000 0.5000 0.8858 1
Pd2 Pd 0.5000 0.0000 0.1142 1
Pd3 Pd 0.5000 0.5000 0.5000 1
```